MnAu2Cl: optimized geometry, PBE.

- formation energy (no corrections) (eV per atom) = 0.21
- total magnetic moment (μB per atom) = 1.070
- N(E_F) (states/eV/cell) = 5.5
- space-group type = F-43m (216)

Structure (POSCAR):
```
MnAu2Cl
1.0
6.6885 0.0000 0.0000
0.0000 6.6885 0.0000
0.0000 0.0000 6.6885
Mn Au Cl
4 8 4
direct
0.0000 0.0000 0.0000
0.0000 0.5000 0.5000
0.5000 0.0000 0.5000
0.5000 0.5000 0.0000
0.0000 0.0000 0.5000
0.0000 0.5000 0.0000
0.2500 0.2500 0.7500
0.2500 0.7500 0.2500
0.5000 0.0000 0.0000
0.5000 0.5000 0.5000
0.7500 0.2500 0.2500
0.7500 0.7500 0.7500
0.2500 0.2500 0.2500
0.2500 0.7500 0.7500
0.7500 0.2500 0.7500
0.7500 0.7500 0.2500
```